No. 1
# GGA-PBE Na2SnRuI, relaxed
# density	3.54	g/cm3
# raw formation energy	451	kJ/mol of formula units
data_Na2SnRuI
_chemical_formula_sum 'Na2 Sn1 Ru1 I1'
_cell_length_a 5.428
_cell_length_b 5.428
_cell_length_c 6.258
_cell_angle_alpha 90.00
_cell_angle_beta 90.00
_cell_angle_gamma 90.00
_symmetry_space_group_name_H-M 'P 4/m m m'
_symmetry_Int_Tables_number 123
_symmetry_space_group_name_Hall '-P 4 2'
loop_
_atom_site_label
_atom_site_fract_x
_atom_site_fract_y
_atom_site_fract_z
Na1 0.000 0.500 0.000
Sn1 0.000 0.000 0.500
Ru1 0.500 0.500 0.500
I1 0.000 0.000 0.000


No. 2
# GGA-PBE NaTcRu2I, relaxed
# density	6.02	g/cm3
# raw formation energy	541	kJ/mol of formula units
data_NaTcRu2I
_chemical_formula_sum 'Na1 Tc1 Ru2 I1'
_cell_length_a 4.665
_cell_length_b 4.665
_cell_length_c 5.701
_cell_angle_alpha 90.00
_cell_angle_beta 90.00
_cell_angle_gamma 90.00
_symmetry_space_group_name_H-M 'P 4/m m m'
_symmetry_Int_Tables_number 123
_symmetry_space_group_name_Hall '-P 4 2'
loop_
_atom_site_label
_atom_site_fract_x
_atom_site_fract_y
_atom_site_fract_z
Na1 0.000 0.000 0.000
Tc1 0.500 0.500 0.500
Ru1 0.000 0.500 0.500
I1 0.500 0.500 0.000


No. 3
# GGA-PBE NaTeRuI2, relaxed
# density	5.03	g/cm3
# raw formation energy	-45	kJ/mol of formula units
# energy relative to the lowest polymorph listed for this composition	0.00	eV per formula unit
data_NaTeRuI2
_chemical_formula_sum 'Na1 Te1 Ru1 I2'
_cell_length_a 5.791
_cell_length_b 5.791
_cell_length_c 4.977
_cell_angle_alpha 90.00
_cell_angle_beta 90.00
_cell_angle_gamma 90.00
_symmetry_space_group_name_H-M 'P 4/m m m'
_symmetry_Int_Tables_number 123
_symmetry_space_group_name_Hall '-P 4 2'
loop_
_atom_site_label
_atom_site_fract_x
_atom_site_fract_y
_atom_site_fract_z
Na1 0.000 0.000 0.000
Te1 0.500 0.500 0.000
Ru1 0.500 0.500 0.500
I1 0.000 0.500 0.500


No. 4
# GGA-PBE NaTe2RuI, relaxed
# density	5.22	g/cm3
# raw formation energy	-1	kJ/mol of formula units
# energy relative to the lowest polymorph listed for this composition	0.00	eV per formula unit
data_NaTe2RuI
_chemical_formula_sum 'Na1 Te2 Ru1 I1'
_cell_length_a 5.161
_cell_length_b 5.161
_cell_length_c 6.045
_cell_angle_alpha 90.00
_cell_angle_beta 90.00
_cell_angle_gamma 90.00
_symmetry_space_group_name_H-M 'P 4/m m m'
_symmetry_Int_Tables_number 123
_symmetry_space_group_name_Hall '-P 4 2'
loop_
_atom_site_label
_atom_site_fract_x
_atom_site_fract_y
_atom_site_fract_z
Na1 0.000 0.000 0.000
Te1 0.000 0.500 0.500
Ru1 0.500 0.500 0.500
I1 0.500 0.500 0.000